Compound: AcY2Fe
Source: Alexandria via LeMat-Bulk
Functional: GGA-PBE
Structure: relaxed

uncorrected energy = -24.9 eV/cell
M_tot = 0.000 Bohr magnetons per cell
energy above the most stable polymorph in this dataset = 0 meV per atom
energy of formation = 0.15 eV per atom

Lattice parameters (Å, degrees): 3.475 3.475 9.378 90.00 90.00 90.00
Space group P4/mmm (No. 123)
One atom of each set of equivalent atoms:
1 Ac 0.000 0.000 0.000
2 Y 0.500 0.500 0.330
3 Fe 0.000 0.000 0.500


Compound: KLi2Y
Source: Alexandria via LeMat-Bulk
Functional: GGA-PBE
Structure: relaxed

uncorrected energy = -37.1 eV/cell
M_tot = 2.072 Bohr magnetons per cell
energy of formation = 0.53 eV per atom

Lattice parameters (Å, degrees): 8.012 8.012 8.012 90.00 90.00 90.00
Space group F-43m (No. 216)
One atom of each set of equivalent atoms:
1 K 0.000 0.000 0.000
2 Li 0.000 0.000 0.500
3 Li 0.250 0.250 0.750
4 Y 0.250 0.250 0.250